Here is a relaxed MnTl2Rh crystal from Alexandria via LeMat-Bulk. Energies are from PBE-GGA.

Cell and atoms, written as POSCAR:
```
MnTl2Rh
1.0
-2.043 2.043 4.619
2.043 -2.043 4.619
2.043 2.043 -4.619
Mn Tl Rh
1 2 1
Cartesian
0.000 0.000 0.000
0.000 0.000 4.619
0.000 2.043 2.310
2.043 0.000 2.310
```

Output
V   77 Å³/f.u.
Space group   No. 119
Polymorph energy (0 for the lowest one)   154 meV/atom
ΔH_f (0 K)   1.3 eV per formula unit